A plane-wave DFT calculation with PBE-GGA was carried out for an optimized crystal structure of PtWSN2.

Cell: 3.841 3.841 5.159 Å, 90.00 90.00 90.00°
Fractional coordinates of all 5 atoms:
1 Pt 0.500 0.500 0.500
2 S 0.000 0.000 0.500
3 W 0.000 0.000 0.000
4 N 0.000 0.500 0.000
5 N 0.500 0.000 0.000

Properties
The uncorrected formation energy comes out at 0.68 eV per atom. The density of states at the Fermi level is 4.064 states/eV/f.u. Its total energy is -7.27 eV/atom. The energy relative to the lowest polymorph listed for this composition comes out at 0.000 eV per atom. As for the density: 9.58 Mg/m³.